No. 1
Here is a relaxed AlTcAu2 crystal from Alexandria. Energies are from PBE.

Properties
- energy (Ry/atom) = -0.38115
- symmetry = No. 38

Unit cell a=4.1487 b=2.8416 c=5.7331 alpha=75.71 beta=90.00 gamma=90.00
Atoms (fractional coordinates):
Tc 0.0000 0.5427 0.5389
Al 0.5000 0.9565 0.7114
Au 0.5000 0.1868 0.2524
Au 0.0000 0.8141 0.9973

No. 2
Here is a relaxed Na2YAlSn crystal from Alexandria. Energies are from PBE.

Properties
- energy (Ry/atom) = -0.21963
- symmetry = No. 123

Unit cell a=5.2568 b=5.4702 c=5.2568 alpha=90.00 beta=90.00 gamma=90.00
Atoms (fractional coordinates):
Sn 0.0000 0.5000 0.0000
Al 0.0000 0.0000 0.0000
Na 0.5000 0.0000 0.0000
Na 0.0000 0.0000 0.5000
Y 0.5000 0.5000 0.5000

> Which of these has the highest energy?

Na2YAlSn